Compound: Sn3BOs
Source: the Alexandria database
Functional: PBE
Structure: optimized geometry

Summary:
Space-group type   Pm-3m, No. 221
Calculated formation energy   1.204 eV per atom
Energy relative to the lowest polymorph listed for this composition   0.234 eV/f.u.

```
data_Sn3BOs
_chemical_formula_sum 'Sn3 B1 Os1'
_cell_length_a 4.6435
_cell_length_b 4.6435
_cell_length_c 4.6435
_cell_angle_alpha 90.00
_cell_angle_beta 90.00
_cell_angle_gamma 90.00
_symmetry_space_group_name_H-M 'P 1'
_symmetry_Int_Tables_number 1
loop_
_symmetry_equiv_pos_as_xyz
'x,y,z'
loop_
_atom_site_label
_atom_site_fract_x
_atom_site_fract_y
_atom_site_fract_z
Sn1 0.0000 0.0000 0.5000
Sn2 0.0000 0.5000 0.0000
Sn3 0.5000 0.0000 0.0000
B1 0.0000 0.0000 0.0000
Os1 0.5000 0.5000 0.5000
```

Compound: SnBOs2
Source: the Alexandria database
Functional: PBE
Structure: optimized geometry

Summary:
Space-group type   Fm-3m, No. 225
Calculated formation energy   0.899 eV per atom
Energy relative to the lowest polymorph listed for this composition   0.689 eV/f.u.

```
data_SnBOs2
_chemical_formula_sum 'Sn1 B1 Os2'
_cell_length_a 4.3036
_cell_length_b 4.3036
_cell_length_c 4.3036
_cell_angle_alpha 60.00
_cell_angle_beta 60.00
_cell_angle_gamma 60.00
_symmetry_space_group_name_H-M 'P 1'
_symmetry_Int_Tables_number 1
loop_
_symmetry_equiv_pos_as_xyz
'x,y,z'
loop_
_atom_site_label
_atom_site_fract_x
_atom_site_fract_y
_atom_site_fract_z
Sn1 0.0000 0.0000 0.0000
B1 0.5000 0.5000 0.5000
Os1 0.2500 0.2500 0.2500
Os2 0.7500 0.7500 0.7500
```

Compound: SnBOsW2
Source: the Alexandria database
Functional: PBE
Structure: optimized geometry

Summary:
Space-group type   P4/mmm, No. 123
Calculated formation energy   3.036 eV per atom

```
data_SnBOsW2
_chemical_formula_sum 'Sn1 B1 Os1 W2'
_cell_length_a 5.0146
_cell_length_b 5.0146
_cell_length_c 3.8444
_cell_angle_alpha 90.00
_cell_angle_beta 90.00
_cell_angle_gamma 90.00
_symmetry_space_group_name_H-M 'P 1'
_symmetry_Int_Tables_number 1
loop_
_symmetry_equiv_pos_as_xyz
'x,y,z'
loop_
_atom_site_label
_atom_site_fract_x
_atom_site_fract_y
_atom_site_fract_z
Sn1 0.0000 0.0000 0.0000
B1 0.0000 0.0000 0.5000
Os1 0.5000 0.5000 0.5000
W1 0.0000 0.5000 0.0000
W2 0.5000 0.0000 0.0000
```

Compound: ZrSnBOs2
Source: the Alexandria database
Functional: PBE
Structure: optimized geometry

Summary:
Space-group type   P4/mmm, No. 123
Calculated formation energy   2.804 eV per atom

```
data_ZrSnBOs2
_chemical_formula_sum 'Zr1 Sn1 B1 Os2'
_cell_length_a 4.8157
_cell_length_b 4.8157
_cell_length_c 5.2913
_cell_angle_alpha 90.00
_cell_angle_beta 90.00
_cell_angle_gamma 90.00
_symmetry_space_group_name_H-M 'P 1'
_symmetry_Int_Tables_number 1
loop_
_symmetry_equiv_pos_as_xyz
'x,y,z'
loop_
_atom_site_label
_atom_site_fract_x
_atom_site_fract_y
_atom_site_fract_z
Zr1 0.0000 0.0000 0.0000
Sn1 0.0000 0.0000 0.5000
B1 0.5000 0.5000 0.0000
Os1 0.0000 0.5000 0.5000
Os2 0.5000 0.0000 0.5000
```